A plane-wave DFT calculation with PBE was carried out for an optimized crystal structure of BC.

Structure (POSCAR):
```
BC
1.0
2.5198 0.0000 0.0000
-1.2599 2.1822 0.0000
0.0000 0.0000 14.4296
B C
6 6
Direct
0.0000 0.0000 0.2288 B
0.0000 0.0000 0.7712 B
0.3333 0.6667 0.8463 B
0.3333 0.6667 0.9623 B
0.6667 0.3333 0.0377 B
0.6667 0.3333 0.1537 B
0.0000 0.0000 0.3384 C
0.0000 0.0000 0.6616 C
0.3333 0.6667 0.3749 C
0.3333 0.6667 0.4820 C
0.6667 0.3333 0.5180 C
0.6667 0.3333 0.6251 C
```

Spin magnetization: 0.0 μB per formula unit
SG: P-3m1 (164)
Energy above the lowest structure with this stoichiometry: 47 kJ/mol of formula units
DFT total energy: -90.7 eV/cell